[1]
Here is crystalline TbLuPu at its relaxed geometry from Alexandria via LeMat-Bulk. Energies are from PBE-GGA.

It has space group P-6m2 (No. 187), with a = 5.5416 Å, b = 5.5416 Å, c = 3.2893 Å, α = 90.00°, β = 90.00° and γ = 120.00°. Symmetry generates all atoms from Tb at (0.0000, 0.0000, 0.0000), Lu at (0.6667, 0.3333, 0.5000) and Pu at (0.3333, 0.6667, 0.5000).

For the density of states at the Fermi level, the calculation gives 3.20 states/eV per atom. For the uncorrected energy, the calculation gives -7.655 eV/atom. For the formation energy, the calculation gives 16.7 kJ/mol of atoms. The excess energy over the best structure of this formula in the dataset comes out at 68 meV per atom. For the total moment, the calculation gives 2.044 μB/atom.

---

[2]
Here is crystalline LaPm9Tl2 at its relaxed geometry from Alexandria via LeMat-Bulk. Energies are from PBE-GGA.

It has space group P4/mmm (No. 123), with a = 4.9869 Å, b = 4.9869 Å, c = 15.4540 Å, α = 90.00°, β = 90.00° and γ = 90.00°. Symmetry generates all atoms from La at (0.0000, 0.0000, 0.0000), Pm at (0.0000, 0.5000, 0.1761), Pm at (0.0000, 0.5000, 0.5000), Pm at (0.5000, 0.5000, 0.0000), Pm at (0.5000, 0.5000, 0.3406) and Tl at (0.0000, 0.0000, 0.3395).

For the density of states at the Fermi level, the calculation gives 1.28 states/eV per atom. For the uncorrected energy, the calculation gives -4.484 eV/atom. For the formation energy, the calculation gives -11.2 kJ/mol of atoms. For the total moment, the calculation gives 0.000 μB/atom.

---

[3]
Here is crystalline KVNi2Sb at its relaxed geometry from Alexandria via LeMat-Bulk. Energies are from PBE-GGA.

It has space group P4/mmm (No. 123), with a = 4.3272 Å, b = 4.3272 Å, c = 5.8206 Å, α = 90.00°, β = 90.00° and γ = 90.00°. Symmetry generates all atoms from K at (0.0000, 0.0000, 0.0000), V at (0.5000, 0.5000, 0.5000), Ni at (0.0000, 0.5000, 0.0000) and Sb at (0.0000, 0.0000, 0.5000).

For the density of states at the Fermi level, the calculation gives 1.76 states/eV per atom. For the uncorrected energy, the calculation gives -3.093 eV/atom. For the total moment, the calculation gives 0.003 μB/atom.

---

[4]
Here is crystalline Ti3AlH at its relaxed geometry from Alexandria via LeMat-Bulk. Energies are from PBE-GGA.

It has space group I-4m2 (No. 119), with a = 5.4196 Å, b = 5.4196 Å, c = 9.8471 Å, α = 90.00°, β = 90.00° and γ = 90.00°. Symmetry generates all atoms from Ti at (0.0000, 0.0000, 0.1278), Ti at (0.0000, 0.2511, 0.6268), Al at (0.0000, 0.5000, 0.1171), H at (0.0000, 0.0000, 0.5000) and H at (0.0000, 0.5000, 0.7500).

For the density of states at the Fermi level, the calculation gives 1.44 states/eV per atom. For the uncorrected energy, the calculation gives -6.210 eV/atom. For the total moment, the calculation gives 0.000 μB/atom.

---

[5]
Here is crystalline TbEr6Tl at its relaxed geometry from Alexandria via LeMat-Bulk. Energies are from PBE-GGA.

It has space group Cmmm (No. 65), with a = 9.7949 Å, b = 9.8065 Å, c = 4.9388 Å, α = 90.00°, β = 90.00° and γ = 90.00°. Symmetry generates all atoms from Tb at (0.0000, 0.0000, 0.0000), Er at (0.0000, 0.2468, 0.5000), Er at (0.2478, 0.0000, 0.5000), Er at (0.2500, 0.2500, 0.0000) and Tl at (0.0000, 0.5000, 0.0000).

For the density of states at the Fermi level, the calculation gives 1.68 states/eV per atom. For the uncorrected energy, the calculation gives -4.324 eV/atom. For the formation energy, the calculation gives -2.6 kJ/mol of atoms. The excess energy over the best structure of this formula in the dataset comes out at 0 meV per atom. For the total moment, the calculation gives 0.000 μB/atom.

---

[6]
Here is crystalline LiCdSb2 at its relaxed geometry from Alexandria via LeMat-Bulk. Energies are from PBE-GGA.

It has space group I-4m2 (No. 119), with a = 4.3929 Å, b = 4.3929 Å, c = 10.0155 Å, α = 90.00°, β = 90.00° and γ = 90.00°. Symmetry generates all atoms from Li at (0.0000, 0.0000, 0.0000), Cd at (0.0000, 0.5000, 0.2500), Sb at (0.0000, 0.0000, 0.5000) and Sb at (0.0000, 0.5000, 0.7500).

For the density of states at the Fermi level, the calculation gives 0.39 states/eV per atom. For the uncorrected energy, the calculation gives -2.868 eV/atom. For the total moment, the calculation gives 0.000 μB/atom.

---

[7]
Here is crystalline Sm5YZn6 at its relaxed geometry from Alexandria via LeMat-Bulk. Energies are from PBE-GGA.

It has space group Cmmm (No. 65), with a = 5.1244 Å, b = 15.3981 Å, c = 7.2731 Å, α = 90.00°, β = 90.00° and γ = 90.00°. Symmetry generates all atoms from Sm at (0.0000, 0.0000, 0.0000), Sm at (0.0000, 0.3325, 0.0000), Sm at (0.0000, 0.3338, 0.5000), Y at (0.0000, 0.0000, 0.5000), Zn at (0.0000, 0.1651, 0.2523) and Zn at (0.0000, 0.5000, 0.2545).

For the density of states at the Fermi level, the calculation gives 1.15 states/eV per atom. For the uncorrected energy, the calculation gives -3.465 eV/atom. For the formation energy, the calculation gives -31.2 kJ/mol of atoms. For the total moment, the calculation gives 0.000 μB/atom.

---

[8]
Here is crystalline Tb2NdZr at its relaxed geometry from Alexandria via LeMat-Bulk. Energies are from PBE-GGA.

It has space group P4/mmm (No. 123), with a = 4.0411 Å, b = 4.0411 Å, c = 7.3843 Å, α = 90.00°, β = 90.00° and γ = 90.00°. Symmetry generates all atoms from Tb at (0.0000, 0.0000, 0.2193), Nd at (0.5000, 0.5000, 0.5000) and Zr at (0.5000, 0.5000, 0.0000).

For the density of states at the Fermi level, the calculation gives 2.04 states/eV per atom. For the uncorrected energy, the calculation gives -5.468 eV/atom. For the formation energy, the calculation gives 17.0 kJ/mol of atoms. The excess energy over the best structure of this formula in the dataset comes out at 87 meV per atom. For the total moment, the calculation gives 0.000 μB/atom.

---

[9]
Here is crystalline Pu2ZnNi3 at its relaxed geometry from Alexandria via LeMat-Bulk. Energies are from PBE-GGA.

It has space group R-3m (No. 166, hexagonal axes), with a = 5.2244 Å, b = 5.2244 Å, c = 12.1382 Å, α = 90.00°, β = 90.00° and γ = 120.00°. Symmetry generates all atoms from Pu at (0.0000, 0.0000, 0.1220), Zn at (0.0000, 0.0000, 0.5000) and Ni at (0.0000, 0.5000, 0.0000).

For the density of states at the Fermi level, the calculation gives 2.57 states/eV per atom. For the uncorrected energy, the calculation gives -8.116 eV/atom. For the formation energy, the calculation gives -22.7 kJ/mol of atoms. For the total moment, the calculation gives 1.903 μB/atom.

---

[10]
Here is crystalline Ti6In2HO at its relaxed geometry from Alexandria via LeMat-Bulk. Energies are from PBE-GGA.

It has space group I4/mmm (No. 139), with a = 5.9230 Å, b = 5.9230 Å, c = 8.3897 Å, α = 90.00°, β = 90.00° and γ = 90.00°. Symmetry generates all atoms from Ti at (0.0000, 0.0000, 0.2428), Ti at (0.2427, 0.2427, 0.0000), In at (0.0000, 0.5000, 0.2500), H at (0.0000, 0.0000, 0.0000) and O at (0.0000, 0.0000, 0.5000).

For the density of states at the Fermi level, the calculation gives 0.69 states/eV per atom. For the uncorrected energy, the calculation gives -6.859 eV/atom. For the total moment, the calculation gives 0.000 μB/atom.

---

Q: Look up the total moment of the seventh one.
A: 0.000 μB/atom

---

Please write out number 9 again, unchanged.
Here is crystalline Pu2ZnNi3 at its relaxed geometry from Alexandria via LeMat-Bulk. Energies are from PBE-GGA.

It has space group R-3m (No. 166, hexagonal axes), with a = 5.2244 Å, b = 5.2244 Å, c = 12.1382 Å, α = 90.00°, β = 90.00° and γ = 120.00°. Symmetry generates all atoms from Pu at (0.0000, 0.0000, 0.1220), Zn at (0.0000, 0.0000, 0.5000) and Ni at (0.0000, 0.5000, 0.0000).

For the density of states at the Fermi level, the calculation gives 2.57 states/eV per atom. For the uncorrected energy, the calculation gives -8.116 eV/atom. For the formation energy, the calculation gives -22.7 kJ/mol of atoms. For the total moment, the calculation gives 1.903 μB/atom.